Record 1
{
  "formula": "Ac4Mg2Os",
  "functional": "GGA-PBE",
  "state": "relaxed",
  "e_form_ev_per_atom": 0.1183,
  "rho_g_cm3": 6.58,
  "space_group": "I4/mmm, No. 139",
  "lattice_angstrom": [[-4.5143, 3.5831, 0.4362], [0.2217, -0.4220, 5.7603], [7.5445, 5.1856, -2.8104]],
  "species": ["Ac", "Ac", "Ac", "Ac", "Os", "Mg", "Mg"],
  "fractional_positions": [[0.8304, 0.8304, 0.6608], [0.1696, 0.1696, 0.3392], [0.0000, 0.5000, 0.0000], [0.5000, 0.0000, 0.0000], [0.0000, 0.0000, 0.0000], [0.6281, 0.6281, 0.2562], [0.3719, 0.3719, 0.7438]]
}

Record 2
{
  "formula": "HfU6Se12",
  "functional": "GGA-PBE",
  "state": "relaxed",
  "raw_formation_energy_mev_per_atom": -1041,
  "polymorph_energy_mev_per_atom": 79,
  "rho_g_cm3": 7.59,
  "space_group": "R-3, No. 148",
  "lattice_angstrom": [[8.2282, 0.2063, -0.3169], [-0.3372, 8.2239, -0.3169], [0.1931, 0.2063, 8.2321]],
  "species": ["Hf", "U", "U", "U", "U", "U", "U", "Se", "Se", "Se", "Se", "Se", "Se", "Se", "Se", "Se", "Se", "Se", "Se"],
  "fractional_positions": [[0.0000, 0.0000, 0.0000], [0.0846, 0.2593, 0.5799], [0.7407, 0.4201, 0.9154], [0.4201, 0.9154, 0.7407], [0.9154, 0.7407, 0.4201], [0.2593, 0.5799, 0.0846], [0.5799, 0.0846, 0.2593], [0.4147, 0.1933, 0.5444], [0.1933, 0.5444, 0.4147], [0.5444, 0.4147, 0.1933], [0.5853, 0.8067, 0.4556], [0.8067, 0.4556, 0.5853], [0.4556, 0.5853, 0.8067], [0.0688, 0.9162, 0.6927], [0.3073, 0.9312, 0.0838], [0.0838, 0.3073, 0.9312], [0.9312, 0.0838, 0.3073], [0.6927, 0.0688, 0.9162], [0.9162, 0.6927, 0.0688]]
}

Record 3
{
  "formula": "LaNd2Dy6",
  "functional": "GGA-PBE",
  "state": "relaxed",
  "e_form_ev_per_atom": 0.1047,
  "polymorph_energy_mev_per_atom": 34,
  "rho_g_cm3": 7.76,
  "space_group": "C2/c, No. 15",
  "lattice_angstrom": [[-3.4037, -5.6321, -0.9939], [0.7355, -3.6870, 8.8686], [-8.8982, 3.4878, 1.2018]],
  "species": ["La", "La", "Nd", "Nd", "Nd", "Nd", "Dy", "Dy", "Dy", "Dy", "Dy", "Dy", "Dy", "Dy", "Dy", "Dy", "Dy", "Dy"],
  "fractional_positions": [[0.2500, 0.1210, 0.8790], [0.7500, 0.8790, 0.1210], [0.1280, 0.6138, 0.6689], [0.3720, 0.3311, 0.3862], [0.8720, 0.3862, 0.3311], [0.6280, 0.6689, 0.6138], [0.4997, 0.6552, 0.2786], [0.0003, 0.7214, 0.3448], [0.5003, 0.3448, 0.7214], [0.9997, 0.2786, 0.6552], [0.7341, 0.0573, 0.4626], [0.7659, 0.5374, 0.9427], [0.2659, 0.9427, 0.5374], [0.2341, 0.4626, 0.0573], [0.3196, 0.7789, 0.9526], [0.1804, 0.0474, 0.2211], [0.6804, 0.2211, 0.0474], [0.8196, 0.9526, 0.7789]]
}

Record 4
{
  "formula": "Sc2Be",
  "functional": "GGA-PBE",
  "state": "relaxed",
  "e_form_ev_per_atom": 0.1159,
  "polymorph_energy_mev_per_atom": 147,
  "rho_g_cm3": 2.81,
  "space_group": "I4_1/amd, No. 141",
  "lattice_angstrom": [[-1.5664, 1.5664, 11.9305], [1.5664, -1.5664, 11.9305], [1.5664, 1.5664, -11.9305]],
  "species": ["Sc", "Sc", "Sc", "Sc", "Be", "Be"],
  "fractional_positions": [[0.5648, 0.5648, 0.0000], [0.1852, 0.6852, 0.5000], [0.4352, 0.4352, 0.0000], [0.3148, 0.8148, 0.5000], [0.0000, 0.0000, 0.0000], [0.7500, 0.2500, 0.5000]]
}

Which formula does entry 2 have?
HfU6Se12